DFT (PBE+U) results for PuNiAsO6 after structural relaxation.

Unit cell a=5.262 b=5.262 c=8.787 alpha=90.00 beta=90.00 gamma=120.00
Atoms (fractional coordinates):
1 Pu 0.333 0.667 0.250
2 Pu 0.667 0.333 0.750
3 Ni 0.000 0.000 0.000
4 Ni 0.000 0.000 0.500
5 As 0.667 0.333 0.250
6 As 0.333 0.667 0.750
7 O 0.672 0.634 0.131
8 O 0.962 0.328 0.131
9 O 0.328 0.962 0.631
10 O 0.038 0.672 0.869
11 O 0.366 0.328 0.369
12 O 0.962 0.634 0.369
13 O 0.634 0.962 0.869
14 O 0.672 0.038 0.369
15 O 0.038 0.366 0.631
16 O 0.366 0.038 0.131
17 O 0.634 0.672 0.631
18 O 0.328 0.366 0.869

Results
Crystal system: trigonal
Total magnetic moment: 5.0 μB per formula unit
ρ: 7.5 g/cm3
Symmetry: No. 163
VASP energy: -7.3108 eV/atom